Entry 1:
LuCu2W (PBE, relaxed); formation energy = 623 meV per atom; symmetry = F-43m, No. 216
1.0
0.0000 3.2155 3.2155
3.2155 0.0000 3.2155
3.2155 3.2155 0.0000
Cu Lu W
2 1 1
direct
0.0000 0.0000 0.0000
0.2500 0.2500 0.2500
0.5000 0.5000 0.5000
0.7500 0.7500 0.7500

Entry 2:
LuCuW2 (PBE, relaxed); formation energy = 311 meV per atom; symmetry = F-43m, No. 216
1.0
0.0000 3.2356 3.2356
3.2356 0.0000 3.2356
3.2356 3.2356 0.0000
Cu Lu W
1 1 2
direct
0.2500 0.2500 0.2500
0.5000 0.5000 0.5000
0.0000 0.0000 0.0000
0.7500 0.7500 0.7500

Entry 3:
Lu2CuW (PBE, relaxed); formation energy = 536 meV per atom; symmetry = F-43m, No. 216
1.0
0.0000 3.3694 3.3694
3.3694 0.0000 3.3694
3.3694 3.3694 0.0000
Cu Lu W
1 2 1
direct
0.2500 0.2500 0.2500
0.0000 0.0000 0.0000
0.7500 0.7500 0.7500
0.5000 0.5000 0.5000

Entry 4:
LuZnCuW (PBE, relaxed); formation energy = 626 meV per atom; symmetry = F-43m, No. 216; excess energy over the best structure of this formula in the dataset = 0.0691 eV/atom
1.0
2.5672 -2.7128 -2.7411
-0.9648 -4.5180 -0.3473
-1.7944 -1.6907 -3.9225
Cu Lu W Zn
1 1 1 1
direct
0.7500 0.7500 0.7500
0.2500 0.2500 0.2500
0.5000 0.5000 0.5000
0.0000 0.0000 0.0000

Entry 5:
LuZnCuW (PBE, relaxed); formation energy = 557 meV per atom; symmetry = F-43m, No. 216; excess energy over the best structure of this formula in the dataset = 0.0000 eV/atom
1.0
0.0000 3.2747 3.2747
3.2747 0.0000 3.2747
3.2747 3.2747 0.0000
Cu Lu W Zn
1 1 1 1
direct
0.7500 0.7500 0.7500
0.5000 0.5000 0.5000
0.2500 0.2500 0.2500
0.0000 0.0000 0.0000

Entry 6:
LuZnCu (PBE, relaxed); formation energy = 301 meV per atom; symmetry = F-43m, No. 216
1.0
0.0000 3.2019 3.2019
3.2019 0.0000 3.2019
3.2019 3.2019 0.0000
Cu Lu Zn
1 1 1
direct
0.2500 0.2500 0.2500
0.0000 0.0000 0.0000
0.7500 0.7500 0.7500

Entry 7:
LuZrCu2 (PBE, relaxed); formation energy = 214 meV per atom; symmetry = F-43m, No. 216
1.0
0.0000 3.2746 3.2746
3.2746 0.0000 3.2746
3.2746 3.2746 0.0000
Cu Lu Zr
2 1 1
direct
0.0000 0.0000 0.0000
0.2500 0.2500 0.2500
0.7500 0.7500 0.7500
0.5000 0.5000 0.5000

Entry 8:
Lu2ZrCu (PBE, relaxed); formation energy = 237 meV per atom; symmetry = F-43m, No. 216
1.0
0.0000 3.5388 3.5388
3.5388 0.0000 3.5388
3.5388 3.5388 0.0000
Cu Lu Zr
1 2 1
direct
0.2500 0.2500 0.2500
0.0000 0.0000 0.0000
0.7500 0.7500 0.7500
0.5000 0.5000 0.5000

Entry 9:
LuZr2Cu (PBE, relaxed); formation energy = 190 meV per atom; symmetry = F-43m, No. 216
1.0
0.0000 3.4897 3.4897
3.4897 0.0000 3.4897
3.4897 3.4897 0.0000
Cu Lu Zr
1 1 2
direct
0.2500 0.2500 0.2500
0.5000 0.5000 0.5000
0.0000 0.0000 0.0000
0.7500 0.7500 0.7500

Entry 10:
MgCu (PBE, relaxed); symmetry = P2_1/m, No. 11; total DFT energy (no corrections) = -2.618 eV/atom
1.0
6.9775 -1.4685 0.0000
0.0208 5.9870 0.0000
0.0000 0.0000 4.5455
Cu Mg
6 6
direct
0.6404 0.1998 0.0000
0.3291 0.3392 0.0000
0.6566 0.6278 0.0000
0.5657 0.4278 0.5000
0.8932 0.7164 0.5000
0.5818 0.8557 0.5000
0.9840 0.4976 0.0000
0.3758 0.8386 0.0000
0.9593 0.9783 0.0000
0.2630 0.0773 0.5000
0.8463 0.2168 0.5000
0.2381 0.5579 0.5000

Entry 11:
MgCu (PBE, relaxed); symmetry = Pmmn, No. 59; total DFT energy (no corrections) = -2.690 eV/atom
1.0
-1.5470 3.3322 -3.3899
-10.6264 -3.2865 1.6188
-0.4550 3.0503 3.2061
Cu Mg
8 8
direct
0.0413 0.0035 0.0000
0.0413 0.4965 0.0000
0.4423 0.6358 0.0000
0.4423 0.8642 0.0000
0.8912 0.1358 0.5000
0.8912 0.3642 0.5000
0.2919 0.5034 0.5000
0.2919 0.9966 0.5000
0.5478 0.0883 0.0000
0.0150 0.2500 0.0000
0.5478 0.4117 0.0000
0.9321 0.7500 0.0000
0.4012 0.2500 0.5000
0.7856 0.5883 0.5000
0.3184 0.7500 0.5000
0.7856 0.9117 0.5000

Entry 12:
MgCu (PBE, relaxed); symmetry = Pbcm, No. 57; total DFT energy (no corrections) = -2.676 eV/atom
1.0
4.5953 0.0000 0.0000
0.0000 6.1819 0.0000
0.0000 0.0000 4.4793
Cu Mg
4 4
direct
0.9697 0.5294 0.0000
0.4697 0.7206 0.0000
0.3637 0.5294 0.5000
0.8637 0.7206 0.5000
0.4408 0.2909 0.0000
0.9408 0.9591 0.0000
0.8925 0.2909 0.5000
0.3925 0.9591 0.5000

Entry 13:
MgCu (PBE, relaxed); symmetry = Pmm2, No. 25; total DFT energy (no corrections) = -2.611 eV/atom
1.0
-1.3671 3.5552 2.5717
-5.4886 -0.1686 -2.6847
-1.4420 -2.8149 3.1248
Cu Mg
4 4
direct
0.9816 0.0000 0.0000
0.3407 0.0000 0.5000
0.8614 0.2122 0.5000
0.8614 0.7878 0.5000
0.4746 0.2215 0.0000
0.9548 0.5000 0.0000
0.4746 0.7785 0.0000
0.3843 0.5000 0.5000

Entry 14:
Mg2Cu (PBE, relaxed); symmetry = P2_1/m, No. 11; total DFT energy (no corrections) = -2.215 eV/atom
1.0
5.2047 11.8260 0.0000
-5.0358 5.8395 0.0000
0.0000 0.0000 4.7038
Cu Mg
8 16
direct
0.7581 0.2144 0.0000
0.3280 0.3531 0.0000
0.8390 0.8368 0.0000
0.9878 0.9910 0.0000
0.8665 0.0080 0.5000
0.4363 0.1467 0.5000
0.2066 0.3702 0.5000
0.3555 0.5242 0.5000
0.5891 0.0808 0.0000
0.1665 0.1877 0.0000
0.9117 0.3987 0.0000
0.4858 0.5033 0.0000
0.0839 0.5865 0.0000
0.6730 0.6431 0.0000
0.2484 0.7548 0.0000
0.4148 0.9620 0.0000
0.0279 0.1734 0.5000
0.6054 0.2803 0.5000
0.7797 0.3991 0.5000
0.9461 0.6063 0.5000
0.5215 0.7179 0.5000
0.1106 0.7746 0.5000
0.7087 0.8577 0.5000
0.2827 0.9624 0.5000

Entry 15:
MgCu (PBE, relaxed); symmetry = Pmmn, No. 59; total DFT energy (no corrections) = -2.585 eV/atom
1.0
4.7570 0.0000 0.0000
0.0000 2.8604 0.0000
0.0000 0.0000 4.6193
Cu Mg
2 2
direct
0.5151 0.5000 0.0000
0.3183 0.0000 0.5000
0.0344 0.0000 0.0000
0.7989 0.5000 0.5000

Entry 16:
Mg8Cu5 (PBE, relaxed); symmetry = P2/m, No. 10; total DFT energy (no corrections) = -2.215 eV/atom
1.0
0.0000 0.0000 -5.6336
4.2764 -3.9585 0.0000
-5.7263 -1.9657 0.0000
Cu Mg
5 8
direct
0.0972 0.1805 0.2500
0.5972 0.1805 0.2500
0.0972 0.1805 0.7500
0.5972 0.1805 0.7500
0.5972 0.6806 0.7500
0.0972 0.1805 0.2500
0.5972 0.1805 0.2500
0.0972 0.6805 0.2500
0.5972 0.6805 0.2500
0.0972 0.1805 0.7500
0.5972 0.1805 0.7500
0.0972 0.6806 0.7500
0.5972 0.6806 0.7500

Entry 17:
MgCu (PBE, relaxed); symmetry = Pmc2_1, No. 26; total DFT energy (no corrections) = -2.643 eV/atom
1.0
4.8287 0.0000 0.0000
0.0000 8.5383 0.0000
0.0000 0.0000 4.4709
Cu Mg
6 6
direct
0.9888 0.0039 0.0000
0.4888 0.1627 0.0000
0.3141 0.0140 0.5000
0.8141 0.1527 0.5000
0.8576 0.4995 0.5000
0.3576 0.6672 0.5000
0.9746 0.3050 0.0000
0.5129 0.5052 0.0000
0.0128 0.6615 0.0000
0.4746 0.8617 0.0000
0.3520 0.3230 0.5000
0.8520 0.8437 0.5000

Entry 18:
Mg2Cu (PBE, relaxed); symmetry = P-62m, No. 189; total DFT energy (no corrections) = -2.248 eV/atom
1.0
-3.9209 -2.4949 2.2367
0.8241 -4.5125 2.3577
0.8365 2.2028 3.9237
Cu Mg
2 4
direct
0.0000 0.0000 0.0000
0.3333 0.3333 0.0000
0.6667 0.6667 0.0000
0.6667 0.0208 0.5000
0.0208 0.3126 0.5000
0.3126 0.6667 0.5000

Entry 19:
Mg2Cu (PBE, relaxed); symmetry = Pmmn, No. 59; total DFT energy (no corrections) = -2.253 eV/atom
1.0
5.0497 0.0000 0.0000
0.0000 8.9281 0.0000
0.0000 0.0000 4.6786
Cu Mg
4 8
direct
0.9960 0.6687 0.0000
0.9960 0.9980 0.0000
0.8373 0.1687 0.5000
0.8373 0.4980 0.5000
0.5394 0.1533 0.0000
0.0148 0.3333 0.0000
0.5394 0.5134 0.0000
0.4626 0.8333 0.0000
0.2940 0.0134 0.5000
0.3707 0.3333 0.5000
0.2940 0.6533 0.5000
0.8185 0.8333 0.5000

Entry 20:
MgCu (PBE, relaxed); symmetry = P2_1/m, No. 11; total DFT energy (no corrections) = -2.584 eV/atom
1.0
6.9217 -1.4699 0.0000
0.0127 5.9543 0.0000
0.0000 0.0000 4.5639
Cu Mg
6 6
direct
0.3171 0.3592 0.0000
0.0013 0.4981 0.0000
0.3214 0.7962 0.0000
0.9006 0.2593 0.5000
0.2209 0.5573 0.5000
0.9052 0.6964 0.5000
0.9949 0.0136 0.0000
0.6353 0.1662 0.0000
0.6721 0.6544 0.0000
0.2274 0.0420 0.5000
0.5502 0.4012 0.5000
0.5868 0.8893 0.5000

Entry 21:
MgCu (PBE, relaxed); symmetry = Pm-3m, No. 221; total DFT energy (no corrections) = -2.733 eV/atom
1.0
-1.8291 -0.9364 2.3704
2.4652 -1.3904 1.3530
0.6467 2.6516 1.5465
Cu Mg
1 1
direct
0.0000 0.0000 0.0000
0.5000 0.5000 0.5000

Entry 22:
MgCu (PBE, relaxed); symmetry = Pmc2_1, No. 26; total DFT energy (no corrections) = -2.670 eV/atom
1.0
-4.4463 -0.3147 -1.5591
0.7978 -8.9505 -0.4684
-1.4345 -0.3456 4.1609
Cu Mg
6 6
direct
0.4960 0.1927 0.0000
0.9960 0.6406 0.0000
0.8373 0.1976 0.5000
0.3651 0.3417 0.5000
0.8651 0.4916 0.5000
0.3373 0.6357 0.5000
0.9291 0.0159 0.0000
0.0100 0.3325 0.0000
0.5100 0.5009 0.0000
0.4291 0.8175 0.0000
0.3625 0.0431 0.5000
0.8625 0.7903 0.5000

Entry 23:
MgCu (PBE, relaxed); symmetry = P-6m2, No. 187; total DFT energy (no corrections) = -2.558 eV/atom
1.0
-2.9344 -3.7266 3.0741
2.4175 -1.6149 -4.8473
3.7570 -1.1081 2.2429
Cu Mg
4 4
direct
0.0000 0.0000 0.0000
0.8431 0.1569 0.5000
0.3139 0.1569 0.5000
0.8431 0.6861 0.5000
0.5043 0.0086 0.0000
0.9914 0.4957 0.0000
0.5043 0.4957 0.0000
0.3333 0.6666 0.5000

Entry 24:
Mg3Cu (PBE, relaxed); symmetry = Pmmn, No. 59; total DFT energy (no corrections) = -2.100 eV/atom
1.0
5.2405 0.0000 0.0000
0.0000 5.9685 0.0000
0.0000 0.0000 4.7380
Cu Mg
2 6
direct
0.9860 0.0000 0.0000
0.3473 0.5000 0.5000
0.4986 0.2502 0.0000
0.0286 0.5000 0.0000
0.4986 0.7498 0.0000
0.3048 0.0000 0.5000
0.8348 0.2498 0.5000
0.8348 0.7502 0.5000